Record 1
A relaxed ZnReRhCl2 crystal. Source: the Alexandria database, functional PBE.

formation energy (no corrections): 1.25 eV per atom
V: 21.44 Å³/atom
total moment: 4.1 μB/f.u.
total energy: -3.71 eV per atom

The structure in CIF format:
```
data_ZnReRhCl2
_chemical_formula_sum 'Zn1 Re1 Rh1 Cl2'
_cell_length_a 4.4735
_cell_length_b 4.4735
_cell_length_c 5.3576
_cell_angle_alpha 90.00
_cell_angle_beta 90.00
_cell_angle_gamma 90.00
_symmetry_space_group_name_H-M 'P 4/m m m'
_symmetry_Int_Tables_number 123
_symmetry_space_group_name_Hall '-P 4 2'
loop_
_atom_site_label
_atom_site_fract_x
_atom_site_fract_y
_atom_site_fract_z
Zn1 0.0000 0.0000 0.0000
Re1 0.5000 0.5000 0.5000
Rh1 0.0000 0.0000 0.5000
Cl1 0.0000 0.5000 0.0000
```

---

Record 2
A relaxed Zr2ReRhCl crystal. Source: the Alexandria database, functional PBE.

formation energy (no corrections): 0.85 eV per atom
V: 23.17 Å³/atom
total moment: 0.0 μB/f.u.
total energy: -6.90 eV per atom

The structure in CIF format:
```
data_Zr2ReRhCl
_chemical_formula_sum 'Zr2 Re1 Rh1 Cl1'
_cell_length_a 5.1181
_cell_length_b 5.1181
_cell_length_c 4.4223
_cell_angle_alpha 90.00
_cell_angle_beta 90.00
_cell_angle_gamma 90.00
_symmetry_space_group_name_H-M 'P 4/m m m'
_symmetry_Int_Tables_number 123
_symmetry_space_group_name_Hall '-P 4 2'
loop_
_atom_site_label
_atom_site_fract_x
_atom_site_fract_y
_atom_site_fract_z
Zr1 0.0000 0.5000 0.0000
Re1 0.0000 0.0000 0.0000
Rh1 0.5000 0.5000 0.5000
Cl1 0.0000 0.0000 0.5000
```

---

Record 3
A relaxed Re4RuCl crystal. Source: the Alexandria database, functional PBE.

formation energy (no corrections): 1.15 eV per atom
V: 16.59 Å³/atom
total moment: 0.0 μB/f.u.
total energy: -9.00 eV per atom

The structure in CIF format:
```
data_Re4RuCl
_chemical_formula_sum 'Re16 Ru4 Cl4'
_cell_length_a 7.3566
_cell_length_b 7.3566
_cell_length_c 7.3566
_cell_angle_alpha 90.00
_cell_angle_beta 90.00
_cell_angle_gamma 90.00
_symmetry_space_group_name_H-M 'F -4 3 m'
_symmetry_Int_Tables_number 216
_symmetry_space_group_name_Hall 'F -4 2 3'
loop_
_atom_site_label
_atom_site_fract_x
_atom_site_fract_y
_atom_site_fract_z
Re1 0.1253 0.1253 0.1253
Ru1 0.2500 0.2500 0.7500
Cl1 0.0000 0.0000 0.5000
```

---

Record 4
A relaxed Re2RuCl crystal. Source: the Alexandria database, functional PBE.

formation energy (no corrections): 0.86 eV per atom
energy above the lowest structure with this stoichiometry: 505 meV/atom
V: 16.21 Å³/atom
total moment: 0.0 μB/f.u.
total energy: -8.15 eV per atom

The structure in CIF format:
```
data_Re2RuCl
_chemical_formula_sum 'Re2 Ru1 Cl1'
_cell_length_a 2.7628
_cell_length_b 3.5379
_cell_length_c 6.6337
_cell_angle_alpha 90.00
_cell_angle_beta 90.00
_cell_angle_gamma 90.00
_symmetry_space_group_name_H-M 'P m m m'
_symmetry_Int_Tables_number 47
loop_
_symmetry_equiv_pos_as_xyz
'x,y,z'
'-x,-y,-z'
'-x,-y,z'
'x,y,-z'
'x,-y,-z'
'-x,y,z'
'-x,y,-z'
'x,-y,z'
loop_
_atom_site_label
_atom_site_fract_x
_atom_site_fract_y
_atom_site_fract_z
Re1 0.0000 0.0000 0.2077
Ru1 0.5000 0.5000 0.0000
Cl1 0.5000 0.5000 0.5000
```

---

Record 5
A relaxed Re3RuCl crystal. Source: the Alexandria database, functional PBE.

formation energy (no corrections): 2.45 eV per atom
energy above the lowest structure with this stoichiometry: 707 meV/atom
V: 21.48 Å³/atom
total moment: 3.8 μB/f.u.
total energy: -7.24 eV per atom

The structure in CIF format:
```
data_Re3RuCl
_chemical_formula_sum 'Re3 Ru1 Cl1'
_cell_length_a 4.7530
_cell_length_b 4.7530
_cell_length_c 4.7530
_cell_angle_alpha 90.00
_cell_angle_beta 90.00
_cell_angle_gamma 90.00
_symmetry_space_group_name_H-M 'P m -3 m'
_symmetry_Int_Tables_number 221
_symmetry_space_group_name_Hall '-P 4 2 3'
loop_
_atom_site_label
_atom_site_fract_x
_atom_site_fract_y
_atom_site_fract_z
Re1 0.0000 0.0000 0.5000
Ru1 0.0000 0.0000 0.0000
Cl1 0.5000 0.5000 0.5000
```

---

Record 6
A relaxed ReRuCl2 crystal. Source: the Alexandria database, functional PBE.

formation energy (no corrections): 0.94 eV per atom
energy above the lowest structure with this stoichiometry: 1002 meV/atom
V: 15.68 Å³/atom
total moment: 0.0 μB/f.u.
total energy: -5.42 eV per atom

The structure in CIF format:
```
data_ReRuCl2
_chemical_formula_sum 'Re1 Ru1 Cl2'
_cell_length_a 2.9419
_cell_length_b 4.2195
_cell_length_c 5.0696
_cell_angle_alpha 90.00
_cell_angle_beta 94.90
_cell_angle_gamma 90.00
_symmetry_space_group_name_H-M 'P 1 2/m 1'
_symmetry_Int_Tables_number 10
loop_
_symmetry_equiv_pos_as_xyz
'x,y,z'
'-x,-y,-z'
'-x,y,-z'
'x,-y,z'
loop_
_atom_site_label
_atom_site_fract_x
_atom_site_fract_y
_atom_site_fract_z
Re1 0.0000 0.0000 0.0000
Ru1 0.5000 0.0000 0.5000
Cl1 0.2212 0.5000 0.2481
```

---

Record 7
A relaxed ReRuCl2 crystal. Source: the Alexandria database, functional PBE.

formation energy (no corrections): 0.73 eV per atom
energy above the lowest structure with this stoichiometry: 792 meV/atom
V: 15.95 Å³/atom
total moment: 0.3 μB/f.u.
total energy: -5.63 eV per atom

The structure in CIF format:
```
data_ReRuCl2
_chemical_formula_sum 'Re3 Ru3 Cl6'
_cell_length_a 2.9650
_cell_length_b 2.9650
_cell_length_c 25.1403
_cell_angle_alpha 90.00
_cell_angle_beta 90.00
_cell_angle_gamma 120.00
_symmetry_space_group_name_H-M 'R -3 m'
_symmetry_Int_Tables_number 166
_symmetry_space_group_name_Hall '-R 3 2"'
loop_
_atom_site_label
_atom_site_fract_x
_atom_site_fract_y
_atom_site_fract_z
Re1 0.0000 0.0000 0.0000
Ru1 0.0000 0.0000 0.5000
Cl1 0.0000 0.0000 0.0902
```

---

Record 8
A relaxed Re3RuCl crystal. Source: the Alexandria database, functional PBE.

formation energy (no corrections): 1.74 eV per atom
energy above the lowest structure with this stoichiometry: 0 meV/atom
V: 15.94 Å³/atom
total moment: 0.0 μB/f.u.
total energy: -7.95 eV per atom

The structure in CIF format:
```
data_Re3RuCl
_chemical_formula_sum 'Re3 Ru1 Cl1'
_cell_length_a 4.3035
_cell_length_b 4.3035
_cell_length_c 4.3035
_cell_angle_alpha 90.00
_cell_angle_beta 90.00
_cell_angle_gamma 90.00
_symmetry_space_group_name_H-M 'P m -3 m'
_symmetry_Int_Tables_number 221
_symmetry_space_group_name_Hall '-P 4 2 3'
loop_
_atom_site_label
_atom_site_fract_x
_atom_site_fract_y
_atom_site_fract_z
Re1 0.0000 0.0000 0.5000
Ru1 0.5000 0.5000 0.5000
Cl1 0.0000 0.0000 0.0000
```